Entry from the Alexandria database: crystalline TaTl2Sb at its relaxed geometry (PBE).

Structure (CIF):
```
data_TaTl2Sb
_cell_length_a 5.961
_cell_length_b 10.996
_cell_length_c 3.217
_cell_angle_alpha 90.00
_cell_angle_beta 112.94
_cell_angle_gamma 90.00
_symmetry_space_group_name_H-M 'C 1 2/m 1'
_symmetry_Int_Tables_number 12
loop_
_symmetry_equiv_pos_as_xyz
'x,y,z'
'-x,-y,-z'
'-x,y,-z'
'x,-y,z'
'x+1/2,y+1/2,z'
'-x+1/2,-y+1/2,-z'
'-x+1/2,y+1/2,-z'
'x+1/2,-y+1/2,z'
loop_
_atom_site_label
_atom_site_fract_x
_atom_site_fract_y
_atom_site_fract_z
Ta1 0.000 0.000 0.000
Tl1 0.250 0.250 0.500
Sb1 0.000 0.500 0.000
```

Results
Polymorph energy (0 for the lowest one): 343.3 meV/atom
Raw formation energy: 0.60 eV per atom
DOS at the Fermi energy: 0.78 states/eV per atom

=====

Entry from the Alexandria database: crystalline FeSn2Ir at its relaxed geometry (PBE).

Structure (CIF):
```
data_FeSn2Ir
_cell_length_a 6.484
_cell_length_b 6.484
_cell_length_c 6.484
_cell_angle_alpha 90.00
_cell_angle_beta 90.00
_cell_angle_gamma 90.00
_symmetry_space_group_name_H-M 'F m -3 m'
_symmetry_Int_Tables_number 225
_symmetry_space_group_name_Hall '-F 4 2 3'
loop_
_atom_site_label
_atom_site_fract_x
_atom_site_fract_y
_atom_site_fract_z
Fe1 0.000 0.000 0.000
Sn1 0.250 0.250 0.250
Ir1 0.000 0.000 0.500
```

Results
Raw total energy: -6.205 eV per atom
DOS at the Fermi energy: 0.58 states/eV per atom

=====

Entry from the Alexandria database: crystalline Cs4Rb5Na2 at its relaxed geometry (PBE).

Structure (CIF):
```
data_Cs4Rb5Na2
_cell_length_a 12.346
_cell_length_b 5.419
_cell_length_c 14.839
_cell_angle_alpha 90.00
_cell_angle_beta 94.24
_cell_angle_gamma 90.00
_symmetry_space_group_name_H-M 'P 1 2/m 1'
_symmetry_Int_Tables_number 10
loop_
_symmetry_equiv_pos_as_xyz
'x,y,z'
'-x,-y,-z'
'-x,y,-z'
'x,-y,z'
loop_
_atom_site_label
_atom_site_fract_x
_atom_site_fract_y
_atom_site_fract_z
Cs1 0.176 0.000 0.345
Cs2 0.218 0.000 0.942
Rb1 0.171 0.500 0.649
Rb2 0.454 0.500 0.169
Rb3 0.500 0.500 0.500
Na1 0.059 0.500 0.124
```

Results
Raw total energy: -0.968 eV per atom
DOS at the Fermi energy: 0.82 states/eV per atom

=====

Entry from the Alexandria database: crystalline RbZrSc at its relaxed geometry (PBE).

Structure (CIF):
```
data_RbZrSc
_cell_length_a 5.293
_cell_length_b 14.498
_cell_length_c 5.964
_cell_angle_alpha 90.00
_cell_angle_beta 90.00
_cell_angle_gamma 90.00
_symmetry_space_group_name_H-M 'C m c m'
_symmetry_Int_Tables_number 63
_symmetry_space_group_name_Hall '-C 2c 2'
loop_
_atom_site_label
_atom_site_fract_x
_atom_site_fract_y
_atom_site_fract_z
Rb1 0.000 0.236 0.250
Zr1 0.000 0.021 0.750
Sc1 0.000 0.500 0.000
```

Results
Polymorph energy (0 for the lowest one): 442.7 meV/atom
DOS at the Fermi energy: 1.41 states/eV per atom

=====

Entry from the Alexandria database: crystalline MgSiAu2 at its relaxed geometry (PBE).

Structure (CIF):
```
data_MgSiAu2
_cell_length_a 3.096
_cell_length_b 4.217
_cell_length_c 5.593
_cell_angle_alpha 90.00
_cell_angle_beta 90.00
_cell_angle_gamma 90.00
_symmetry_space_group_name_H-M 'P m m m'
_symmetry_Int_Tables_number 47
loop_
_symmetry_equiv_pos_as_xyz
'x,y,z'
'-x,-y,-z'
'-x,-y,z'
'x,y,-z'
'x,-y,-z'
'-x,y,z'
'-x,y,-z'
'x,-y,z'
loop_
_atom_site_label
_atom_site_fract_x
_atom_site_fract_y
_atom_site_fract_z
Mg1 0.000 0.000 0.000
Si1 0.500 0.000 0.500
Au1 0.500 0.500 0.244
```

Results
Raw formation energy: -0.20 eV per atom
DOS at the Fermi energy: 0.28 states/eV per atom